# 1
Density functional theory data (PBE) for a relaxed structure of Na2PrNiH8.

Cell lengths 4.6812, 4.6812, 6.3256 Å; angles 90.00, 90.00, 120.00 degrees
Space group P-3m1 (No. 164)
One atom of each set of equivalent atoms:
Na: 0.3333 0.6667 0.3666 x2
Pr: 0.0000 0.0000 0.0000 x1
Ni: 0.0000 0.0000 0.5000 x1
H: 0.1488 0.2977 0.6556 x6
H: 0.3333 0.6667 0.0205 x2

- E: -42.67 eV per cell
- V: 10.00 Å³/atom

# 2
Density functional theory data (PBE) for a relaxed structure of AcU6S8.

Cell lengths 10.3932, 10.3932, 12.0359 Å; angles 90.00, 90.00, 120.00 degrees
Space group R-3 (No. 148, hexagonal axes)
One atom of each set of equivalent atoms:
Ac: 0.0000 0.0000 0.0000 x3
U: 0.0561 0.8444 0.4337 x18
S: 0.0000 0.0000 0.2728 x6
S: 0.0152 0.3737 0.7117 x18

- Formation energy from raw total energies: -1070 meV/atom
- V: 25.02 Å³/atom

# 3
Density functional theory data (PBE) for a relaxed structure of Ni2OsW.

Cell lengths 8.728, 2.683, 4.626 Å; angles 90.00, 100.52, 90.00 degrees
Space group C2/m (No. 12)
One atom of each set of equivalent atoms:
Ni: 0.247 0.000 0.248 x4
Os: 0.000 0.500 0.000 x2
W: 0.000 0.000 0.500 x2

- Distance to the lowest polymorph of the same formula: 163 meV/atom
- V: 13.32 Å³/atom

# 4
Density functional theory data (PBE) for a relaxed structure of Y2MnBr.

Cell lengths 3.6048, 3.6048, 29.4615 Å; angles 90.00, 90.00, 120.00 degrees
Space group R3m (No. 160, hexagonal axes)
One atom of each set of equivalent atoms:
Y: 0.0000 0.0000 0.0000 x3
Y: 0.0000 0.0000 0.2347 x3
Mn: 0.0000 0.0000 0.4911 x3
Br: 0.0000 0.0000 0.7381 x3

- Formation energy from raw total energies: -177 meV/atom
- Distance to the lowest polymorph of the same formula: 240 meV/atom
- V: 27.63 Å³/atom